# Ca2MgPb (GGA-PBEsol, relaxed)
data_Ca2MgPb
_space_group_name_H-M_alt 'P 1'
_space_group_IT_number 1
_space_group_name_Hall 'P 1'
_cell_length_a 7.2758
_cell_length_b 7.2836
_cell_length_c 4.2950
_cell_angle_alpha 90.00
_cell_angle_beta 90.00
_cell_angle_gamma 90.00
loop_
_atom_site_label
_atom_site_fract_x
_atom_site_fract_y
_atom_site_fract_z
Ca1 0.2500 0.2500 0.0000
Ca2 0.2500 0.7500 0.0000
Ca3 0.7500 0.2500 0.0000
Ca4 0.7500 0.7500 0.0000
Mg1 0.0000 0.0000 0.5000
Mg2 0.5000 0.5000 0.5000
Pb1 0.0000 0.5000 0.5000
Pb2 0.5000 0.0000 0.5000
# total moment	0.000	μB/f.u.
# formation energy	-394	meV per atom


# LiGaPt3 (GGA-PBEsol, relaxed)
data_LiGaPt3
_space_group_name_H-M_alt 'P 1'
_space_group_IT_number 1
_space_group_name_Hall 'P 1'
_cell_length_a 4.1700
_cell_length_b 4.1700
_cell_length_c 4.1700
_cell_angle_alpha 90.00
_cell_angle_beta 90.00
_cell_angle_gamma 90.00
loop_
_atom_site_label
_atom_site_fract_x
_atom_site_fract_y
_atom_site_fract_z
Li1 0.0000 0.0000 0.0000
Ga1 0.5000 0.5000 0.5000
Pt1 0.0000 0.0000 0.5000
Pt2 0.0000 0.5000 0.0000
Pt3 0.5000 0.0000 0.0000
# total moment	0.000	μB/f.u.
# formation energy	268	meV per atom


# DyErO3 (GGA-PBEsol, relaxed)
data_DyErO3
_space_group_name_H-M_alt 'P 1'
_space_group_IT_number 1
_space_group_name_Hall 'P 1'
_cell_length_a 6.3137
_cell_length_b 6.3137
_cell_length_c 12.5023
_cell_angle_alpha 90.00
_cell_angle_beta 90.00
_cell_angle_gamma 120.00
loop_
_atom_site_label
_atom_site_fract_x
_atom_site_fract_y
_atom_site_fract_z
Dy1 0.0000 0.0000 0.0000
Dy2 0.0000 0.0000 0.5000
Dy3 0.3333 0.6667 0.0359
Dy4 0.3333 0.6667 0.5359
Dy5 0.6667 0.3333 0.0359
Dy6 0.6667 0.3333 0.5359
Er1 0.0000 0.3331 0.2698
Er2 0.0000 0.6669 0.7698
Er3 0.3331 0.0000 0.2698
Er4 0.3331 0.3331 0.7698
Er5 0.6669 0.0000 0.7698
Er6 0.6669 0.6669 0.2698
O1 0.0000 0.0000 0.3051
O2 0.0000 0.0000 0.8051
O3 0.0000 0.3042 0.0963
O4 0.0000 0.3654 0.4418
O5 0.0000 0.6346 0.9418
O6 0.0000 0.6958 0.5963
O7 0.3042 0.0000 0.0963
O8 0.3042 0.3042 0.5963
O9 0.3333 0.6667 0.2399
O10 0.3333 0.6667 0.7399
O11 0.3654 0.0000 0.4418
O12 0.3654 0.3654 0.9418
O13 0.6346 0.0000 0.9418
O14 0.6346 0.6346 0.4418
O15 0.6667 0.3333 0.2399
O16 0.6667 0.3333 0.7399
O17 0.6958 0.0000 0.5963
O18 0.6958 0.6958 0.0963
# total moment	0.000	μB/f.u.
# uncorrected energy	-8.71	eV per atom